## CsPrPbS3 (GGA-PBE)

Data for CsPrPbS3 after structural relaxation.

Energy above the most stable polymorph in this dataset = 0.0767 eV per atom

Cell and atoms, written as POSCAR:
```
CsPrPbS3
1.0
2.108 -8.845 0.000
2.108 8.845 0.000
0.000 0.000 11.891
Cs Pr Pb S
2 2 2 6
Direct
0.175 0.825 0.750
0.825 0.175 0.250
0.500 0.500 0.000
0.500 0.500 0.500
0.102 0.898 0.250
0.898 0.102 0.750
0.107 0.893 0.010
0.107 0.893 0.490
0.500 0.500 0.250
0.500 0.500 0.750
0.893 0.107 0.510
0.893 0.107 0.990
```

=====

## CsPrPbS3 (GGA-PBE)

Data for CsPrPbS3 after structural relaxation.

Energy above the most stable polymorph in this dataset = 0.0000 eV per atom

Cell and atoms, written as POSCAR:
```
CsPrPbS3
1.0
16.181 0.000 0.000
0.000 4.227 0.000
0.000 0.000 12.503
Cs Pr Pb S
4 4 4 12
Direct
0.237 0.250 0.097
0.263 0.750 0.597
0.737 0.250 0.403
0.763 0.750 0.903
0.002 0.250 0.357
0.498 0.750 0.857
0.502 0.250 0.143
0.998 0.750 0.643
0.044 0.250 0.901
0.456 0.750 0.401
0.544 0.250 0.599
0.956 0.750 0.099
0.083 0.750 0.233
0.092 0.250 0.549
0.125 0.750 0.813
0.375 0.250 0.313
0.408 0.750 0.049
0.417 0.250 0.733
0.583 0.750 0.267
0.592 0.250 0.951
0.625 0.750 0.687
0.875 0.250 0.187
0.908 0.750 0.451
0.917 0.250 0.767
```

=====

## CsPt3Pb5 (GGA-PBE)

Data for CsPt3Pb5 after structural relaxation.

Cell and atoms, written as POSCAR:
```
CsPt3Pb5
1.0
5.783 0.000 0.000
-2.891 5.008 0.000
0.000 0.000 8.921
Cs Pt Pb
1 3 5
Direct
0.000 0.000 0.000
0.000 0.500 0.500
0.500 0.000 0.500
0.500 0.500 0.500
0.000 0.000 0.500
0.333 0.667 0.229
0.333 0.667 0.771
0.667 0.333 0.229
0.667 0.333 0.771
```

=====

## CsPuPb (GGA-PBE)

Data for CsPuPb after structural relaxation.

Cell and atoms, written as POSCAR:
```
CsPuPb
1.0
0.000 4.190 4.190
4.190 0.000 4.190
4.190 4.190 0.000
Cs Pu Pb
1 1 1
Direct
0.000 0.000 0.000
0.750 0.750 0.750
0.500 0.500 0.500
```

=====

no.,VASP energy (eV per atom),total magnetic moment (μB/cell)
1,-4.88,0.02
2,-4.96,0.00
3,-4.32,0.13
4,-5.70,5.33